Entry 1:
! K3Tl8Cd3 (PBE, relaxed); values from VASP
&SYSTEM
  ibrav = 0, nat = 14, ntyp = 3
/
ATOMIC_SPECIES
K 39.10 K.upf
Tl 204.38 Tl.upf
Cd 112.41 Cd.upf
ATOMIC_POSITIONS crystal
K 0.780 0.220 0.220
K 0.500 0.500 0.500
K 0.220 0.780 0.780
Tl 0.138 0.506 0.218
Tl 0.862 0.782 0.494
Tl 0.359 0.933 0.349
Tl 0.138 0.218 0.506
Tl 0.641 0.067 0.651
Tl 0.359 0.349 0.933
Tl 0.862 0.494 0.782
Tl 0.641 0.651 0.067
Cd 0.500 0.000 0.000
Cd 0.000 0.860 0.140
Cd 0.000 0.140 0.860
CELL_PARAMETERS angstrom
5.423 0.000 0.000
2.711 9.233 -0.050
2.711 2.466 8.898
! **SG**: Immm
! **Calculated volume**: 446 Å³ per cell
! **Energy of formation**: -0.06 eV per atom
! **M_tot**: 0.00 μB/f.u.
! **DOS at the Fermi energy**: 6.07 states/eV per cell

Entry 2:
! K3Tl2Cd9 (PBE, relaxed); values from VASP
&SYSTEM
  ibrav = 0, nat = 14, ntyp = 3
/
ATOMIC_SPECIES
Tl 204.38 Tl.upf
Cd 112.41 Cd.upf
K 39.10 K.upf
ATOMIC_POSITIONS crystal
Tl 0.500 0.684 0.316
Tl 0.500 0.316 0.684
Cd 0.668 0.977 0.688
Cd 0.140 0.150 0.570
Cd 0.860 0.850 0.430
Cd 0.140 0.570 0.150
Cd 0.332 0.023 0.312
Cd 0.332 0.312 0.023
Cd 0.000 0.500 0.500
Cd 0.860 0.430 0.850
Cd 0.668 0.688 0.977
K 0.000 0.000 0.000
K 0.707 0.293 0.293
K 0.293 0.707 0.707
CELL_PARAMETERS angstrom
-4.503 2.768 0.177
-7.064 -6.480 0.609
-3.626 -1.408 8.782
! **SG**: Immm
! **Calculated volume**: 416 Å³ per cell
! **Energy of formation**: -0.08 eV per atom
! **M_tot**: 0.00 μB/f.u.
! **DOS at the Fermi energy**: 4.98 states/eV per cell

Entry 3:
! KTlCd (PBE, relaxed); values from VASP
&SYSTEM
  ibrav = 0, nat = 3, ntyp = 3
/
ATOMIC_SPECIES
Tl 204.38 Tl.upf
K 39.10 K.upf
Cd 112.41 Cd.upf
ATOMIC_POSITIONS crystal
Tl 0.333 0.667 0.695
K 0.667 0.333 0.329
Cd 0.000 0.000 0.976
CELL_PARAMETERS angstrom
-0.510 -0.227 -3.803
2.172 -2.606 1.806
-6.585 -4.681 1.163
! **SG**: P3m1
! **Calculated volume**: 104 Å³ per cell
! **Energy of formation**: 0.05 eV per atom
! **M_tot**: 0.00 μB/f.u.
! **DOS at the Fermi energy**: 1.35 states/eV per cell

Entry 4:
! K3TlCd2 (PBE, relaxed); values from VASP
&SYSTEM
  ibrav = 0, nat = 12, ntyp = 3
/
ATOMIC_SPECIES
K 39.10 K.upf
Cd 112.41 Cd.upf
Tl 204.38 Tl.upf
ATOMIC_POSITIONS crystal
K 0.877 0.753 0.981
K 0.656 0.344 0.750
K 0.344 0.656 0.250
K 0.753 0.877 0.481
K 0.123 0.247 0.019
K 0.247 0.123 0.519
Cd 0.942 0.454 0.367
Cd 0.454 0.942 0.867
Cd 0.546 0.058 0.133
Cd 0.058 0.546 0.633
Tl 0.671 0.329 0.250
Tl 0.329 0.671 0.750
CELL_PARAMETERS angstrom
-0.470 -5.934 -5.482
6.000 -4.341 3.261
-4.373 -5.993 4.328
! **SG**: C2/c
! **Calculated volume**: 540 Å³ per cell
! **Energy of formation**: -0.03 eV per atom
! **M_tot**: 0.00 μB/f.u.
! **DOS at the Fermi energy**: 8.50 states/eV per cell

Entry 5:
! KTl3Cd (PBE, relaxed); values from VASP
&SYSTEM
  ibrav = 0, nat = 5, ntyp = 3
/
ATOMIC_SPECIES
Tl 204.38 Tl.upf
Cd 112.41 Cd.upf
K 39.10 K.upf
ATOMIC_POSITIONS crystal
Tl 0.794 0.597 0.118
Tl 0.147 0.451 0.411
Tl 0.647 0.951 0.411
Cd 0.016 0.820 0.672
K 0.403 0.207 0.898
CELL_PARAMETERS angstrom
-2.157 1.776 4.274
0.174 -4.681 2.037
4.997 -0.152 5.640
! **SG**: I4mm
! **Calculated volume**: 172 Å³ per cell
! **Energy of formation**: -0.06 eV per atom
! **M_tot**: 0.00 μB/f.u.
! **DOS at the Fermi energy**: 2.61 states/eV per cell

Entry 6:
! K2TlCd (PBE, relaxed); values from VASP
&SYSTEM
  ibrav = 0, nat = 4, ntyp = 3
/
ATOMIC_SPECIES
Tl 204.38 Tl.upf
Cd 112.41 Cd.upf
K 39.10 K.upf
ATOMIC_POSITIONS crystal
Tl 0.500 0.500 0.500
Cd 0.000 0.000 0.000
K 0.750 0.750 0.750
K 0.250 0.250 0.250
CELL_PARAMETERS angstrom
0.000 4.285 4.285
4.285 0.000 4.285
4.285 4.285 0.000
! **SG**: Fm-3m
! **Calculated volume**: 157 Å³ per cell
! **Energy of formation**: 0.03 eV per atom
! **M_tot**: 0.00 μB/f.u.
! **DOS at the Fermi energy**: 5.34 states/eV per cell

Entry 7:
! KTl3Cd (PBE, relaxed); values from VASP
&SYSTEM
  ibrav = 0, nat = 20, ntyp = 3
/
ATOMIC_SPECIES
Tl 204.38 Tl.upf
K 39.10 K.upf
Cd 112.41 Cd.upf
ATOMIC_POSITIONS crystal
Tl 0.250 0.871 0.210
Tl 0.750 0.412 0.897
Tl 0.750 0.129 0.790
Tl 0.250 0.088 0.397
Tl 0.750 0.912 0.603
Tl 0.250 0.385 0.709
Tl 0.750 0.615 0.291
Tl 0.750 0.115 0.209
Tl 0.250 0.371 0.290
Tl 0.250 0.885 0.791
Tl 0.750 0.629 0.710
Tl 0.250 0.588 0.103
K 0.750 0.820 0.999
K 0.750 0.320 0.501
K 0.250 0.680 0.499
K 0.250 0.180 0.001
Cd 0.250 0.605 0.872
Cd 0.750 0.395 0.128
Cd 0.750 0.895 0.372
Cd 0.250 0.105 0.628
CELL_PARAMETERS angstrom
-0.477 -4.602 1.472
9.643 0.087 3.395
-4.223 4.238 11.885
! **SG**: Pnma
! **Calculated volume**: 660 Å³ per cell
! **Energy of formation**: -0.06 eV per atom
! **M_tot**: 0.00 μB/f.u.
! **DOS at the Fermi energy**: 11.70 states/eV per cell

Entry 8:
! KTl2ZnCd (PBE, relaxed); values from VASP
&SYSTEM
  ibrav = 0, nat = 5, ntyp = 4
/
ATOMIC_SPECIES
Zn 65.41 Zn.upf
Tl 204.38 Tl.upf
Cd 112.41 Cd.upf
K 39.10 K.upf
ATOMIC_POSITIONS crystal
Zn 0.000 0.000 0.000
Tl 0.500 0.000 0.000
Tl 0.000 0.500 0.000
Cd 0.000 0.000 0.500
K 0.500 0.500 0.500
CELL_PARAMETERS angstrom
-2.805 3.953 -2.629
-4.225 -0.687 3.475
2.090 3.654 3.264
! **SG**: P4/mmm
! **Calculated volume**: 162 Å³ per cell
! **Energy of formation**: 0.08 eV per atom
! **M_tot**: 0.00 μB/f.u.
! **DOS at the Fermi energy**: 2.99 states/eV per cell

Entry 9:
! K2Tl6ZnCd (PBE, relaxed); values from VASP
&SYSTEM
  ibrav = 0, nat = 20, ntyp = 4
/
ATOMIC_SPECIES
Cd 112.41 Cd.upf
Tl 204.38 Tl.upf
K 39.10 K.upf
Zn 65.41 Zn.upf
ATOMIC_POSITIONS crystal
Cd 0.573 0.573 0.280
Cd 0.427 0.427 0.720
Tl 0.082 0.664 0.591
Tl 0.664 0.664 0.591
Tl 0.336 0.336 0.409
Tl 0.221 0.648 0.910
Tl 0.664 0.082 0.591
Tl 0.779 0.352 0.090
Tl 0.918 0.336 0.409
Tl 0.336 0.918 0.409
Tl 0.779 0.779 0.090
Tl 0.221 0.221 0.910
Tl 0.352 0.779 0.090
Tl 0.648 0.221 0.910
K 0.279 0.279 0.163
K 0.895 0.895 0.315
K 0.105 0.105 0.685
K 0.721 0.721 0.837
Zn 0.500 0.500 0.500
Zn 0.000 0.000 0.000
CELL_PARAMETERS angstrom
7.777 0.000 0.000
3.889 6.735 0.000
3.889 2.245 13.068
! **SG**: R-3m
! **Calculated volume**: 685 Å³ per cell
! **Energy of formation**: 0.01 eV per atom
! **M_tot**: 0.00 μB/f.u.
! **DOS at the Fermi energy**: 10.13 states/eV per cell

Entry 10:
! KZrTl2Cd (PBE, relaxed); values from VASP
&SYSTEM
  ibrav = 0, nat = 5, ntyp = 4
/
ATOMIC_SPECIES
Tl 204.38 Tl.upf
Cd 112.41 Cd.upf
Zr 91.22 Zr.upf
K 39.10 K.upf
ATOMIC_POSITIONS crystal
Tl 0.000 0.000 0.500
Tl 0.500 0.000 0.000
Cd 0.500 0.500 0.500
Zr 0.000 0.000 0.000
K 0.000 0.500 0.000
CELL_PARAMETERS angstrom
5.704 0.000 0.000
0.000 6.728 0.000
0.000 0.000 5.704
! **SG**: P4/mmm
! **Calculated volume**: 219 Å³ per cell
! **Energy of formation**: 0.70 eV per atom
! **M_tot**: 2.00 μB/f.u.
! **DOS at the Fermi energy**: 6.16 states/eV per cell

Entry 11:
! KTmCd17 (PBE, relaxed); values from VASP
&SYSTEM
  ibrav = 0, nat = 19, ntyp = 3
/
ATOMIC_SPECIES
Cd 112.41 Cd.upf
K 39.10 K.upf
Tm 168.93 Tm.upf
ATOMIC_POSITIONS crystal
Cd 0.296 0.700 0.002
Cd 0.347 0.880 0.347
Cd 0.616 0.616 0.206
Cd 0.700 0.002 0.296
Cd 0.700 0.296 0.002
Cd 0.108 0.108 0.108
Cd 0.206 0.616 0.616
Cd 0.979 0.979 0.524
Cd 0.616 0.206 0.616
Cd 0.002 0.700 0.296
Cd 0.979 0.524 0.979
Cd 0.002 0.296 0.700
Cd 0.524 0.979 0.979
Cd 0.347 0.347 0.880
Cd 0.296 0.002 0.700
Cd 0.911 0.911 0.911
Cd 0.880 0.347 0.347
K 0.664 0.664 0.664
Tm 0.327 0.327 0.327
CELL_PARAMETERS angstrom
7.694 0.067 0.983
0.874 7.644 0.983
0.075 0.067 7.756
! **SG**: R3m
! **Calculated volume**: 455 Å³ per cell
! **Energy of formation**: -0.06 eV per atom
! **M_tot**: 0.00 μB/f.u.
! **DOS at the Fermi energy**: 7.50 states/eV per cell

Entry 12:
! KVCd3 (PBE, relaxed); values from VASP
&SYSTEM
  ibrav = 0, nat = 5, ntyp = 3
/
ATOMIC_SPECIES
Cd 112.41 Cd.upf
V 50.94 V.upf
K 39.10 K.upf
ATOMIC_POSITIONS crystal
Cd 0.000 0.500 0.000
Cd 0.500 0.000 0.000
Cd 0.000 0.000 0.500
V 0.500 0.500 0.500
K 0.000 0.000 0.000
CELL_PARAMETERS angstrom
6.088 0.000 0.000
0.000 6.088 0.000
0.000 0.000 6.088
! **SG**: Pm-3m
! **Calculated volume**: 226 Å³ per cell
! **Energy of formation**: 1.29 eV per atom
! **M_tot**: 4.43 μB/f.u.
! **DOS at the Fermi energy**: 9.11 states/eV per cell